Entry 1:
5
Lattice="4.767 0.000 0.000 0.000 4.767 0.000 0.000 0.000 4.767" Properties=species:S:1:pos:R:3 comment="PBE TlCu3Tc, relaxed" space_group="Pm-3m, No. 221" polymorph_energy_mev_per_atom=0 energy_ev_per_atom=-3.827 m_tot_mub_per_cell=2.09 formation_energy_ev_per_atom=1.1775 pbc="T T T"
Tl 0.000 0.000 0.000
Cu 0.000 2.384 2.384
Cu 2.384 0.000 2.384
Cu 2.384 2.384 0.000
Tc 2.384 2.384 2.384

---

Entry 2:
12
Lattice="0.000 4.944 9.557 2.822 0.000 9.557 2.822 4.944 0.000" Properties=species:S:1:pos:R:3 comment="PBE TlHgPt, relaxed" space_group="Fddd, No. 70" polymorph_energy_mev_per_atom=0 energy_ev_per_atom=-2.946 m_tot_mub_per_cell=0.00 formation_energy_ev_per_atom=-0.0434 pbc="T T T"
Tl 2.116 0.399 7.168
Tl 3.527 2.871 11.947
Tl 2.116 7.018 7.168
Tl 3.527 9.490 11.947
Hg 2.116 3.708 5.579
Hg 2.116 3.708 8.757
Hg 3.527 6.180 10.357
Hg 3.527 6.180 13.536
Pt 2.116 3.708 0.033
Pt 3.527 6.180 4.812
Pt 2.116 3.708 14.303
Pt 3.527 6.180 19.081

---

Entry 3:
12
Lattice="4.076 0.000 0.000 -2.038 3.530 0.000 0.000 0.000 22.570" Properties=species:S:1:pos:R:3 comment="PBE Sc2BiPb, relaxed" space_group="R-3m, No. 166" polymorph_energy_mev_per_atom=0 energy_ev_per_atom=-5.507 m_tot_mub_per_cell=0.00 formation_energy_ev_per_atom=-0.4440 pbc="T T T"
Sc 0.000 0.000 5.588
Sc 0.000 0.000 16.982
Sc 0.000 2.353 9.459
Sc 0.000 2.353 20.634
Sc 2.038 1.177 1.935
Sc 2.038 1.177 13.111
Bi 0.000 0.000 11.285
Bi 0.000 2.353 3.762
Bi 2.038 1.177 18.808
Pb 0.000 0.000 0.000
Pb 0.000 2.353 15.046
Pb 2.038 1.177 7.523

---

Entry 4:
10
Lattice="4.411 0.000 0.000 0.000 4.411 0.000 0.000 0.000 10.891" Properties=species:S:1:pos:R:3 comment="PBE Ac2Ga7Ru, relaxed" space_group="P-4m2, No. 115" energy_ev_per_atom=-4.319 m_tot_mub_per_cell=0.15 formation_energy_ev_per_atom=-0.4507 pbc="T T T"
Ac 0.000 2.205 2.670
Ac 2.205 0.000 8.222
Ga 0.000 0.000 0.000
Ga 0.000 0.000 5.446
Ga 0.000 2.205 6.915
Ga 0.000 2.205 9.557
Ga 2.205 0.000 1.334
Ga 2.205 0.000 3.977
Ga 2.205 2.205 5.446
Ru 2.205 2.205 0.000